[1]
Computed, not measured: CoH6Se2O8 after structural relaxation at the GGA-PBEsol level of DFT.

a b c (Å): 6.919 6.952 7.811
angles (deg): 66.94 90.00 90.00
Atoms (fractional coordinates):
H: 0.782 0.759 0.628
H: 0.667 0.371 0.911
H: 0.333 0.629 0.089
H: 0.996 0.256 0.750
H: 0.218 0.241 0.372
H: 0.496 0.244 0.750
H: 0.504 0.756 0.250
H: 0.167 0.129 0.589
H: 0.004 0.744 0.250
H: 0.833 0.871 0.411
H: 0.718 0.259 0.128
H: 0.282 0.741 0.872
O: 0.416 0.954 0.261
O: 0.225 0.698 0.002
O: 0.341 0.761 0.671
O: 0.036 0.874 0.279
O: 0.841 0.739 0.829
O: 0.964 0.126 0.721
O: 0.775 0.302 0.998
O: 0.659 0.239 0.329
O: 0.159 0.261 0.171
O: 0.725 0.802 0.498
O: 0.584 0.046 0.739
O: 0.084 0.454 0.761
O: 0.275 0.198 0.502
O: 0.916 0.546 0.239
O: 0.536 0.626 0.221
O: 0.464 0.374 0.779
Se: 0.214 0.045 0.126
Se: 0.786 0.955 0.874
Se: 0.286 0.545 0.626
Se: 0.714 0.455 0.374
Co: 0.500 0.000 0.500
Co: 0.000 0.500 0.000

Crystal system ... monoclinic

[2]
Computed, not measured: NaTi2BiO6 after structural relaxation at the GGA-PBEsol level of DFT.

a b c (Å): 5.403 6.041 5.624
angles (deg): 109.61 90.00 116.56
Atoms (fractional coordinates):
Bi: 0.000 0.000 0.000
O: 0.166 0.332 0.837
O: 0.879 0.260 0.346
O: 0.834 0.668 0.163
O: 0.619 0.740 0.654
O: 0.121 0.740 0.654
O: 0.381 0.260 0.346
Ti: 0.771 0.542 0.405
Ti: 0.229 0.458 0.595
Na: 0.500 0.000 0.500

Energy above the most stable polymorph in this dataset ... 57 meV per atom
Crystal system ... monoclinic
Formation energy without anion corrections ... -2.3964 eV per atom

[3]
Computed, not measured: Mo2RuCl after structural relaxation at the GGA-PBEsol level of DFT.

a b c (Å): 2.788 4.522 4.522
angles (deg): 90.00 90.00 90.00
Atoms (fractional coordinates):
Ru: 0.500 0.500 0.500
Mo: 0.000 0.500 0.000
Mo: 0.000 0.000 0.500
Cl: 0.500 0.000 0.000

Energy above the most stable polymorph in this dataset ... 0 meV per atom
Crystal system ... tetragonal
Formation energy without anion corrections ... 0.4927 eV per atom

[4]
Computed, not measured: IrRuRh2 after structural relaxation at the GGA-PBEsol level of DFT.

a b c (Å): 2.671 4.646 4.646
angles (deg): 109.81 90.00 90.00
Atoms (fractional coordinates):
Rh: 0.000 0.500 0.000
Rh: 0.000 0.000 0.500
Ru: 0.500 0.000 0.000
Ir: 0.500 0.500 0.500

Energy above the most stable polymorph in this dataset ... 30 meV per atom
Crystal system ... orthorhombic
DFT formation energy ... 0.1 eV/f.u.

[5]
Computed, not measured: MgMoBr2 after structural relaxation at the GGA-PBEsol level of DFT.

a b c (Å): 3.366 3.540 7.816
angles (deg): 103.17 90.00 90.00
Atoms (fractional coordinates):
Br: 0.500 0.858 0.343
Br: 0.000 0.158 0.939
Mg: 0.000 0.447 0.520
Mo: 0.500 0.037 0.698

Energy above the most stable polymorph in this dataset ... 0 meV per atom
Crystal system ... monoclinic
Formation energy without anion corrections ... -0.1110 eV per atom

[6]
Computed, not measured: K2CaTaSn after structural relaxation at the GGA-PBEsol level of DFT.

a b c (Å): 5.615 5.970 5.970
angles (deg): 90.00 90.00 90.00
Atoms (fractional coordinates):
Ca: 0.000 0.000 0.000
Ta: 0.500 0.500 0.500
Sn: 0.500 0.000 0.000
K: 0.000 0.000 0.500
K: 0.000 0.500 0.000

Crystal system ... tetragonal
DFT formation energy ... 8.5 eV/f.u.

[7]
Computed, not measured: Li2CoRh after structural relaxation at the GGA-PBEsol level of DFT.

a b c (Å): 2.653 4.199 4.977
angles (deg): 114.95 105.46 90.00
Atoms (fractional coordinates):
Li: 0.745 0.745 0.491
Li: 0.255 0.255 0.509
Co: 0.000 0.500 0.000
Rh: 0.500 0.000 0.000

Energy above the most stable polymorph in this dataset ... 5 meV per atom
Crystal system ... orthorhombic
DFT formation energy ... 0.1 eV/f.u.

[8]
Computed, not measured: AlSiRh2 after structural relaxation at the GGA-PBEsol level of DFT.

a b c (Å): 2.853 4.224 4.698
angles (deg): 103.95 107.68 90.00
Atoms (fractional coordinates):
Rh: 0.763 0.325 0.526
Rh: 0.992 0.932 0.983
Al: 0.249 0.813 0.498
Si: 0.496 0.431 0.993

Crystal system ... monoclinic
Formation energy without anion corrections ... -0.8984 eV per atom

Number 1: total energy -185.08 eV per cell. Number 2: total energy -77.79 eV per cell. Number 3: total energy -33.75 eV per cell. Number 4: total energy -36.22 eV per cell. Number 5: total energy -17.67 eV per cell. Number 6: total energy -12.70 eV per cell. Number 7: total energy -19.71 eV per cell. Number 8: total energy -29.71 eV per cell.